# PBE-GGA Ac2HoSi, relaxed
# - ΔE_f (raw): -0.30 eV per formula unit
# - Calculated total energy: -4.63 eV per atom
# - ρ: 8.6 g/cm3
# - Total magnetization: 0.0 μB per cell
data_Ac2HoSi
_chemical_formula_sum 'Ac2 Ho1 Si1'
_symmetry_space_group_name_H-M 'P 4/m m m'
_symmetry_Int_Tables_number 123
_symmetry_space_group_name_Hall '-P 4 2'
_cell_length_a 5.097
_cell_length_b 5.097
_cell_length_c 4.802
_cell_angle_alpha 90.00
_cell_angle_beta 90.00
_cell_angle_gamma 90.00
loop_
_atom_site_label
_atom_site_fract_x
_atom_site_fract_y
_atom_site_fract_z
_atom_site_occupancy
Ac1 0.000 0.500 0.000 1
Ho1 0.000 0.000 0.500 1
Si1 0.500 0.500 0.500 1